HfBRu3 after structural relaxation, computed with PBE.

abc: 4.754 5.450 5.772
angles: 73.09 76.04 79.50
Space group P1 (No. 1)
Asymmetric unit:
Hf1 0.000 0.000 0.000 (multiplicity 1)
Hf2 0.009 0.484 0.511 (multiplicity 1)
B1 0.235 0.715 0.697 (multiplicity 1)
B2 0.361 0.036 0.571 (multiplicity 1)
Ru1 0.014 0.480 0.043 (multiplicity 1)
Ru2 0.495 0.300 0.741 (multiplicity 1)
Ru3 0.510 0.289 0.216 (multiplicity 1)
Ru4 0.525 0.756 0.328 (multiplicity 1)
Ru5 0.555 0.753 0.868 (multiplicity 1)
Ru6 0.939 0.010 0.488 (multiplicity 1)

Calculated values
The calculation puts the total moment at 0.000 μB per formula unit. Its crystal system is triclinic. The formation energy is -358 meV/atom. The value obtained for the calculated total energy is -9.250 eV per atom.